(1)
Here is a geometry-optimized InAs2Ir2 structure from the Alexandria database. Energies are from PBE.

```
InAs2Ir2
1.0
-3.6349 5.4533 -4.0567
-5.1680 -5.2055 -2.3669
-1.7062 0.6199 2.3621
As Ir In
4 4 2
direct
0.1464 0.6464 0.5000 As
0.6464 0.8536 0.5000 As
0.8536 0.3536 0.5000 As
0.3536 0.1464 0.5000 As
0.3640 0.8640 0.0000 Ir
0.8640 0.6360 0.0000 Ir
0.6360 0.1360 0.0000 Ir
0.1360 0.3640 0.0000 Ir
0.0000 0.0000 0.0000 In
0.5000 0.5000 0.0000 In
```

Summary:
For the formation energy, the calculation gives 0.6 eV per formula unit. The uncorrected energy is -58.41 eV for the cell shown. Its space group is No. 127. As for the energy above the lowest structure with this stoichiometry: 20 meV per atom.

***

(2)
Here is a geometry-optimized InAsIr structure from the Alexandria database. Energies are from PBE.

```
InAsIr
1.0
3.4773 0.0000 0.0000
-1.7387 3.0115 0.0000
0.0000 0.0000 5.8476
As Ir In
1 1 1
direct
0.0000 0.0000 0.9376 As
0.3333 0.6667 0.7029 Ir
0.6667 0.3333 0.3594 In
```

Summary:
For the formation energy, the calculation gives -0.1 eV per formula unit. The uncorrected energy is -16.34 eV for the cell shown. Its space group is No. 156.

***

(3)
Here is a geometry-optimized InAsIr2 structure from the Alexandria database. Energies are from PBE.

```
InAsIr2
1.0
-3.2874 -2.7900 -1.5511
1.0341 -3.3262 -2.9773
-0.1035 -4.3826 1.3340
As Ir In
1 2 1
direct
0.5000 0.5000 0.5000 As
0.0000 0.0000 0.0000 Ir
0.2500 0.2500 0.2500 Ir
0.7500 0.7500 0.7500 In
```

Summary:
For the formation energy, the calculation gives 1.8 eV per formula unit. The uncorrected energy is -23.36 eV for the cell shown. Its space group is No. 216. As for the energy above the lowest structure with this stoichiometry: 377 meV per atom.

***

(4)
Here is a geometry-optimized InAs2Ir structure from the Alexandria database. Energies are from PBE.

```
InAs2Ir
1.0
-0.7991 -0.0648 2.9665
-2.9467 -0.3612 -0.8017
0.9583 -8.0028 0.0834
As Ir In
2 1 1
direct
0.0000 0.0000 0.9497 As
0.5000 0.5000 0.2596 As
0.5000 0.5000 0.7693 Ir
0.0000 0.0000 0.5214 In
```

Summary:
For the formation energy, the calculation gives 0.5 eV per formula unit. The uncorrected energy is -20.39 eV for the cell shown. Its space group is No. 99.

***

> The highest formation energy belongs to which entry?

InAsIr2